Entry 1:
A plane-wave DFT calculation with PBE was carried out for a relaxed AcTlSn2I8 crystal.

Structure (POSCAR):
```
AcTlSn2I8
1.0
7.498 0.000 0.000
0.000 9.684 0.000
-0.078 0.000 7.952
Ac Tl Sn I
1 1 2 8
direct
0.000 0.000 0.000
0.000 0.500 0.000
0.500 0.258 0.500
0.500 0.742 0.500
0.252 0.000 0.661
0.258 0.238 0.164
0.258 0.762 0.164
0.270 0.500 0.639
0.730 0.500 0.361
0.742 0.238 0.836
0.742 0.762 0.836
0.748 0.000 0.339
```

Summary:
energy relative to the elements, uncorrected = -0.84 eV/atom


Entry 2:
A plane-wave DFT calculation with PBE was carried out for a relaxed SrAcI crystal.

Structure (POSCAR):
```
SrAcI
1.0
0.000 7.034 10.299
4.090 0.000 10.299
4.090 7.034 0.000
Sr Ac I
4 4 4
direct
0.005 0.005 0.245
0.245 0.245 0.005
0.755 0.755 0.995
0.995 0.995 0.755
0.253 0.253 0.497
0.497 0.497 0.253
0.503 0.503 0.747
0.747 0.747 0.503
0.203 0.547 0.203
0.453 0.797 0.453
0.547 0.203 0.547
0.797 0.453 0.797
```

Summary:
energy relative to the elements, uncorrected = -0.39 eV/atom
excess energy over the best structure of this formula in the dataset = 0.290 eV/atom


Entry 3:
A plane-wave DFT calculation with PBE was carried out for a relaxed SrAc2I8 crystal.

Structure (POSCAR):
```
SrAc2I8
1.0
7.873 -4.084 0.000
7.873 4.084 0.000
-4.219 0.000 8.297
Sr Ac I
1 2 8
direct
0.000 0.000 0.000
0.144 0.144 0.576
0.856 0.856 0.424
0.214 0.737 0.278
0.229 0.229 0.314
0.263 0.786 0.722
0.342 0.342 0.871
0.658 0.658 0.129
0.737 0.214 0.278
0.771 0.771 0.686
0.786 0.263 0.722
```

Summary:
energy relative to the elements, uncorrected = -1.46 eV/atom


Entry 4:
A plane-wave DFT calculation with PBE was carried out for a relaxed Sr2AcI crystal.

Structure (POSCAR):
```
Sr2AcI
1.0
2.102 1.214 11.655
-2.102 1.214 11.655
0.000 -2.427 11.655
Sr Ac I
2 1 1
direct
0.000 0.000 0.000
0.186 0.186 0.186
0.760 0.760 0.760
0.593 0.593 0.593
```

Summary:
energy relative to the elements, uncorrected = -0.58 eV/atom
excess energy over the best structure of this formula in the dataset = 0.000 eV/atom


Entry 5:
A plane-wave DFT calculation with PBE was carried out for a relaxed SrAcI crystal.

Structure (POSCAR):
```
SrAcI
1.0
4.213 0.000 0.000
-2.107 3.649 0.000
0.000 0.000 8.513
Sr Ac I
1 1 1
direct
0.000 0.000 0.000
0.667 0.333 0.386
0.333 0.667 0.695
```

Summary:
energy relative to the elements, uncorrected = -0.68 eV/atom
excess energy over the best structure of this formula in the dataset = 0.000 eV/atom


Entry 6:
A plane-wave DFT calculation with PBE was carried out for a relaxed Sr2AcI crystal.

Structure (POSCAR):
```
Sr2AcI
1.0
2.097 1.211 11.743
-2.097 1.211 11.743
0.000 -2.422 11.743
Sr Ac I
2 1 1
direct
0.240 0.240 0.240
0.760 0.760 0.760
0.000 0.000 0.000
0.500 0.500 0.500
```

Summary:
energy relative to the elements, uncorrected = -0.58 eV/atom
excess energy over the best structure of this formula in the dataset = 0.001 eV/atom


Entry 7:
A plane-wave DFT calculation with PBE was carried out for a relaxed Sr2AcI crystal.

Structure (POSCAR):
```
Sr2AcI
1.0
4.028 0.000 0.000
0.000 4.028 0.000
0.000 0.000 10.966
Sr Ac I
2 1 1
direct
0.000 0.000 0.225
0.000 0.000 0.775
0.500 0.500 0.500
0.500 0.500 0.000
```

Summary:
energy relative to the elements, uncorrected = -0.52 eV/atom
excess energy over the best structure of this formula in the dataset = 0.062 eV/atom


Entry 8:
A plane-wave DFT calculation with PBE was carried out for a relaxed AcTaI2 crystal.

Structure (POSCAR):
```
AcTaI2
1.0
1.861 1.074 10.716
-1.861 1.074 10.716
0.000 -2.148 10.716
Ac Ta I
1 1 2
direct
0.000 0.000 0.000
0.500 0.500 0.500
0.414 0.414 0.414
0.586 0.586 0.586
```

Summary:
energy relative to the elements, uncorrected = 0.28 eV/atom


Entry 9:
A plane-wave DFT calculation with PBE was carried out for a relaxed AcTbI2 crystal.

Structure (POSCAR):
```
AcTbI2
1.0
1.978 1.142 11.202
-1.978 1.142 11.202
0.000 -2.284 11.202
Ac Tb I
1 1 2
direct
0.000 0.000 0.000
0.500 0.500 0.500
0.102 0.102 0.102
0.898 0.898 0.898
```

Summary:
energy relative to the elements, uncorrected = -0.74 eV/atom


Entry 10:
A plane-wave DFT calculation with PBE was carried out for a relaxed AcTb2I crystal.

Structure (POSCAR):
```
AcTb2I
1.0
1.917 1.107 10.775
-1.917 1.107 10.775
0.000 -2.214 10.775
Ac Tb I
1 2 1
direct
0.000 0.000 0.000
0.243 0.243 0.243
0.757 0.757 0.757
0.500 0.500 0.500
```

Summary:
energy relative to the elements, uncorrected = -0.36 eV/atom


Entry 11:
A plane-wave DFT calculation with PBE was carried out for a relaxed Ac2TbI crystal.

Structure (POSCAR):
```
Ac2TbI
1.0
3.910 0.000 0.000
0.000 3.910 0.000
0.000 0.000 10.229
Ac Tb I
2 1 1
direct
0.000 0.000 0.247
0.000 0.000 0.753
0.500 0.500 0.500
0.500 0.500 0.000
```

Summary:
energy relative to the elements, uncorrected = -0.38 eV/atom
excess energy over the best structure of this formula in the dataset = 0.000 eV/atom


Entry 12:
A plane-wave DFT calculation with PBE was carried out for a relaxed AcTbI6 crystal.

Structure (POSCAR):
```
AcTbI6
1.0
3.924 2.266 7.166
-3.924 2.266 7.166
0.000 -4.531 7.166
Ac Tb I
1 1 6
direct
0.000 0.000 0.000
0.500 0.500 0.500
0.095 0.427 0.737
0.263 0.905 0.573
0.427 0.737 0.095
0.573 0.263 0.905
0.737 0.095 0.427
0.905 0.573 0.263
```

Summary:
energy relative to the elements, uncorrected = -1.41 eV/atom